! ScRh2W, relaxed, DFT GGA-PBEsol; values from VASP
! - Calculated density: 11.697 g/cm³
! - ΔE to the lowest computed polymorph: 10 meV/atom
! - Total moment: 0.0 μB per cell
! - Calculated formation energy: -0.1082 eV/atom
&SYSTEM
  ibrav = 0, nat = 4, ntyp = 3
/
ATOMIC_SPECIES
Rh 102.91 Rh.upf
Sc 44.96 Sc.upf
W 183.84 W.upf
CELL_PARAMETERS angstrom
2.788 0.000 0.000
-1.394 4.443 0.002
0.000 -0.785 4.981
ATOMIC_POSITIONS angstrom
Rh 1.394 1.625 3.820
Rh 0.000 2.033 1.163
Sc 0.000 -0.392 2.490
W 1.394 0.000 0.000



! Tl3TeAs, relaxed, DFT GGA-PBEsol; values from VASP
! - Calculated density: 7.301 g/cm³
! - Total moment: 0.0 μB per cell
! - Formation energy without anion corrections: 0.725 eV per atom
&SYSTEM
  ibrav = 0, nat = 5, ntyp = 3
/
ATOMIC_SPECIES
Tl 204.38 Tl.upf
Te 127.60 Te.upf
As 74.92 As.upf
CELL_PARAMETERS angstrom
-5.270 -1.196 -1.823
0.716 -5.453 1.509
-2.059 1.165 5.189
ATOMIC_POSITIONS angstrom
Tl 0.358 -2.727 0.754
Tl -1.030 0.583 2.595
Tl -2.635 -0.598 -0.911
Te 0.000 0.000 0.000
As -3.307 -2.742 2.438